Computed, not measured: a PBEsol-optimized structure of Zn3Cd at the meta-GGA SCAN level of DFT.

Unit cell a=2.860 b=2.860 c=8.969 alpha=90.00 beta=90.00 gamma=120.00
Positions (direct):
Zn 0.000 0.000 0.500
Zn 0.667 0.333 0.730
Zn 0.667 0.333 0.270
Cd 0.000 0.000 0.000

Electronic total energy ... -17.65 eV per atom
Magnetic moment ... 0.0 μB per formula unit
Space group ... P-6m2

***

Computed, not measured: a PBEsol-optimized structure of Zn3Cd at the meta-GGA SCAN level of DFT.

Unit cell a=3.142 b=4.662 c=4.740 alpha=98.28 beta=90.00 gamma=109.69
Positions (direct):
Zn 0.754 0.508 0.271
Zn 0.500 0.000 0.500
Zn 0.246 0.492 0.729
Cd 0.000 0.000 0.000

Electronic total energy ... -17.65 eV per atom
Magnetic moment ... 0.0 μB per formula unit
Space group ... C2/m

***

Computed, not measured: a PBEsol-optimized structure of ZnCd2 at the meta-GGA SCAN level of DFT.

Unit cell a=4.938 b=5.399 c=5.399 alpha=77.93 beta=62.78 gamma=62.78
Positions (direct):
Zn 0.750 0.000 0.000
Zn 0.250 0.000 0.000
Cd 0.652 0.500 0.197
Cd 0.152 0.197 0.500
Cd 0.848 0.803 0.500
Cd 0.348 0.500 0.803

Electronic total energy ... -24.74 eV per atom
Magnetic moment ... 0.0 μB per formula unit
Space group ... I4/mcm

***

Computed, not measured: a PBEsol-optimized structure of ZnCd2 at the meta-GGA SCAN level of DFT.

Unit cell a=2.823 b=6.099 c=7.480 alpha=113.78 beta=90.00 gamma=103.38
Positions (direct):
Zn 0.203 0.406 0.112
Zn 0.797 0.594 0.888
Cd 0.515 0.030 0.809
Cd 0.149 0.298 0.552
Cd 0.851 0.702 0.448
Cd 0.485 0.970 0.191

Electronic total energy ... -24.73 eV per atom
Magnetic moment ... 0.0 μB per formula unit
Space group ... C2/m

***

Computed, not measured: a PBEsol-optimized structure of Zn3Cd5 at the meta-GGA SCAN level of DFT.

Unit cell a=5.433 b=8.018 c=8.018 alpha=120.00 beta=90.00 gamma=90.00
Positions (direct):
Cd 0.750 0.000 0.226
Cd 0.250 0.000 0.774
Cd 0.750 0.774 0.774
Cd 0.250 0.774 0.000
Cd 0.000 0.667 0.333
Cd 0.500 0.667 0.333
Cd 0.000 0.333 0.667
Cd 0.500 0.333 0.667
Cd 0.250 0.226 0.226
Cd 0.750 0.226 0.000
Zn 0.250 0.000 0.405
Zn 0.750 0.000 0.595
Zn 0.250 0.595 0.595
Zn 0.750 0.595 0.000
Zn 0.750 0.405 0.405
Zn 0.250 0.405 0.000

Electronic total energy ... -23.95 eV per atom
Magnetic moment ... 0.0 μB per formula unit
Space group ... P6_3/mcm

***

Computed, not measured: a PBEsol-optimized structure of ZnCd2 at the meta-GGA SCAN level of DFT.

Unit cell a=2.987 b=4.863 c=7.803 alpha=90.00 beta=101.03 gamma=90.00
Positions (direct):
Zn 0.389 0.750 0.779
Zn 0.611 0.250 0.221
Cd 0.723 0.750 0.446
Cd 0.946 0.250 0.892
Cd 0.054 0.750 0.108
Cd 0.277 0.250 0.554

Electronic total energy ... -24.69 eV per atom
Magnetic moment ... 0.0 μB per formula unit
Space group ... Cmcm

***

Computed, not measured: a PBEsol-optimized structure of ZnCd2 at the meta-GGA SCAN level of DFT.

Unit cell a=3.005 b=3.005 c=12.881 alpha=96.70 beta=96.70 gamma=90.00
Positions (direct):
Zn 0.000 0.000 0.000
Zn 0.250 0.750 0.500
Cd 0.675 0.175 0.350
Cd 0.825 0.325 0.650
Cd 0.425 0.425 0.850
Cd 0.575 0.575 0.150

Electronic total energy ... -24.71 eV per atom
Magnetic moment ... 0.0 μB per formula unit
Space group ... I4_1/amd

***

Computed, not measured: a PBEsol-optimized structure of Zn5Cd at the meta-GGA SCAN level of DFT.

Unit cell a=2.789 b=4.404 c=7.562 alpha=90.00 beta=100.63 gamma=90.00
Positions (direct):
Zn 0.221 0.500 0.442
Zn 0.328 0.000 0.657
Zn 0.566 0.500 0.132
Zn 0.674 0.000 0.348
Zn 0.879 0.500 0.757
Cd 0.998 0.000 0.996

Electronic total energy ... -16.26 eV per atom
Magnetic moment ... 0.0 μB per formula unit
Space group ... Amm2
Polymorph energy (0 for the lowest one) ... 0.0 meV/atom

***

Computed, not measured: a PBEsol-optimized structure of ZnCd7 at the meta-GGA SCAN level of DFT.

Unit cell a=6.103 b=6.103 c=6.103 alpha=60.00 beta=60.00 gamma=60.00
Positions (direct):
Zn 0.000 0.000 0.000
Cd 0.500 0.000 0.000
Cd 0.500 0.500 0.000
Cd 0.000 0.500 0.000
Cd 0.500 0.000 0.500
Cd 0.000 0.000 0.500
Cd 0.000 0.500 0.500
Cd 0.500 0.500 0.500

Electronic total energy ... -28.24 eV per atom
Magnetic moment ... 0.0 μB per formula unit
Space group ... Fm-3m

***

Computed, not measured: a PBEsol-optimized structure of Zn3Cd at the meta-GGA SCAN level of DFT.

Unit cell a=4.677 b=5.113 c=5.370 alpha=90.00 beta=90.00 gamma=90.00
Positions (direct):
Zn 0.674 0.500 0.000
Zn 0.837 0.000 0.257
Zn 0.163 0.500 0.243
Zn 0.326 0.000 0.500
Zn 0.837 0.000 0.743
Zn 0.163 0.500 0.757
Cd 0.338 0.000 0.000
Cd 0.662 0.500 0.500

Electronic total energy ... -17.68 eV per atom
Magnetic moment ... 0.0 μB per formula unit
Space group ... Pmmn

***

Computed, not measured: a PBEsol-optimized structure of ZnCd2 at the meta-GGA SCAN level of DFT.

Unit cell a=4.453 b=6.052 c=8.472 alpha=90.00 beta=90.00 gamma=90.00
Positions (direct):
Cd 0.750 0.908 0.831
Cd 0.750 0.837 0.481
Cd 0.250 0.663 0.981
Cd 0.250 0.592 0.331
Cd 0.750 0.408 0.669
Cd 0.750 0.337 0.019
Cd 0.250 0.163 0.519
Cd 0.250 0.092 0.169
Zn 0.750 0.779 0.162
Zn 0.250 0.721 0.662
Zn 0.750 0.279 0.338
Zn 0.250 0.221 0.838

Electronic total energy ... -24.70 eV per atom
Magnetic moment ... 0.0 μB per formula unit
Space group ... Pnma

***

Computed, not measured: a PBEsol-optimized structure of Zn3Cd at the meta-GGA SCAN level of DFT.

Unit cell a=5.374 b=5.362 c=8.971 alpha=90.00 beta=90.00 gamma=90.00
Positions (direct):
Cd 0.891 0.381 0.250
Cd 0.609 0.881 0.750
Cd 0.391 0.119 0.250
Cd 0.109 0.619 0.750
Zn 0.134 0.124 0.750
Zn 0.719 0.632 0.007
Zn 0.719 0.632 0.493
Zn 0.781 0.132 0.507
Zn 0.781 0.132 0.993
Zn 0.366 0.624 0.250
Zn 0.634 0.376 0.750
Zn 0.219 0.868 0.007
Zn 0.219 0.868 0.493
Zn 0.281 0.368 0.507
Zn 0.281 0.368 0.993
Zn 0.866 0.876 0.250

Electronic total energy ... -17.66 eV per atom
Magnetic moment ... 0.0 μB per formula unit
Space group ... Pnma

***

Please write out number 6 again, unchanged.
Computed, not measured: a PBEsol-optimized structure of ZnCd2 at the meta-GGA SCAN level of DFT.

Unit cell a=2.987 b=4.863 c=7.803 alpha=90.00 beta=101.03 gamma=90.00
Positions (direct):
Zn 0.389 0.750 0.779
Zn 0.611 0.250 0.221
Cd 0.723 0.750 0.446
Cd 0.946 0.250 0.892
Cd 0.054 0.750 0.108
Cd 0.277 0.250 0.554

Electronic total energy ... -24.69 eV per atom
Magnetic moment ... 0.0 μB per formula unit
Space group ... Cmcm

***

Q: electronic total energy of number 3 (ZnCd2)?
A: -24.74 eV per atom

***

Q: The lowest electronic total energy belongs to which entry?
A: ZnCd7

***

Q: Number 3 is which compound?
A: ZnCd2